Record 1
A geometry-optimized LaDy5Er2Tm structure, computed with PBE-GGA.

Cell lengths 5.573, 10.238, 10.753 Å; angles 90.00, 90.00, 105.79 degrees
Atoms (fractional coordinates):
La 0.793 0.587 0.507
La 0.207 0.413 0.007
Dy 0.397 0.795 0.025
Dy 0.715 0.430 0.800
Dy 0.478 0.956 0.739
Dy 0.299 0.597 0.705
Dy 0.982 0.963 0.529
Dy 0.603 0.205 0.525
Dy 0.285 0.570 0.300
Dy 0.522 0.044 0.239
Dy 0.701 0.403 0.205
Dy 0.018 0.037 0.029
Er 0.885 0.770 0.819
Er 0.106 0.212 0.741
Er 0.115 0.230 0.319
Er 0.894 0.788 0.241
Tm 0.586 0.172 0.959
Tm 0.414 0.828 0.459

- ΔE_f (eV per formula unit) = 1.4
- SG = No. 36
- calculated density (g/cm³) = 8.2
- magnetization (Bohr magnetons per cell) = 0.00

---

Record 2
A geometry-optimized LaDy2Er2Tm2 structure, computed with PBE-GGA.

Cell lengths 3.487, 5.973, 11.691 Å; angles 79.11, 90.00, 106.97 degrees
Atoms (fractional coordinates):
La 0.000 0.000 0.500
Dy 0.655 0.310 0.926
Dy 0.345 0.690 0.074
Er 0.595 0.190 0.227
Er 0.405 0.810 0.773
Tm 0.704 0.408 0.631
Tm 0.296 0.592 0.369

- ΔE_f (eV per formula unit) = 1.1
- SG = No. 12
- calculated density (g/cm³) = 8.3
- magnetization (Bohr magnetons per cell) = 0.00

---

Record 3
A geometry-optimized La2DyEr5Tm structure, computed with PBE-GGA.

Cell lengths 5.616, 10.238, 10.694 Å; angles 90.00, 90.00, 105.92 degrees
Atoms (fractional coordinates):
La 0.885 0.770 0.818
La 0.113 0.225 0.734
La 0.115 0.230 0.318
La 0.887 0.775 0.234
Dy 0.586 0.173 0.962
Dy 0.414 0.827 0.462
Er 0.387 0.775 0.020
Er 0.718 0.437 0.808
Er 0.481 0.961 0.739
Er 0.299 0.598 0.707
Er 0.983 0.967 0.524
Er 0.613 0.225 0.520
Er 0.282 0.563 0.308
Er 0.519 0.039 0.239
Er 0.701 0.402 0.207
Er 0.017 0.033 0.024
Tm 0.799 0.599 0.512
Tm 0.201 0.401 0.012

- ΔE_f (eV per formula unit) = 1.3
- SG = No. 36
- calculated density (g/cm³) = 8.1
- magnetization (Bohr magnetons per cell) = 0.00

---

Record 4
A geometry-optimized La3DyEr6Tm2 structure, computed with PBE-GGA.

Cell lengths 6.184, 6.184, 11.777 Å; angles 95.02, 95.02, 119.99 degrees
Atoms (fractional coordinates):
La 0.167 0.833 0.500
La 0.833 0.167 0.500
La 0.500 0.500 0.500
Dy 0.000 0.000 0.000
Er 0.919 0.586 0.757
Er 0.747 0.747 0.243
Er 0.081 0.414 0.243
Er 0.586 0.919 0.757
Er 0.253 0.253 0.757
Er 0.414 0.081 0.243
Tm 0.333 0.667 0.000
Tm 0.667 0.333 0.000

- ΔE_f (eV per formula unit) = 0.3
- SG = No. 12
- calculated density (g/cm³) = 8.3
- magnetization (Bohr magnetons per cell) = 0.00

---

Record 5
A geometry-optimized LaDy6Er3Tm2 structure, computed with PBE-GGA.

Cell lengths 6.131, 6.131, 11.751 Å; angles 94.97, 94.97, 119.96 degrees
Atoms (fractional coordinates):
La 0.000 0.000 0.000
Dy 0.915 0.580 0.747
Dy 0.750 0.750 0.253
Dy 0.085 0.420 0.253
Dy 0.580 0.915 0.747
Dy 0.250 0.250 0.747
Dy 0.420 0.085 0.253
Er 0.167 0.833 0.500
Er 0.833 0.167 0.500
Er 0.500 0.500 0.500
Tm 0.333 0.667 0.000
Tm 0.667 0.333 0.000

- ΔE_f (eV per formula unit) = 0.3
- SG = No. 12
- calculated density (g/cm³) = 8.6
- magnetization (Bohr magnetons per cell) = 0.00

---

Record 6
A geometry-optimized LaDyErTm structure, computed with PBE-GGA.

Cell lengths 5.701, 5.701, 5.701 Å; angles 60.00, 60.00, 60.00 degrees
Atoms (fractional coordinates):
Tm 0.500 0.500 0.500
La 0.250 0.250 0.250
Dy 0.750 0.750 0.750
Er 0.000 0.000 0.000

- ΔE to the lowest computed polymorph (eV/f.u.) = 0.30
- ΔE_f (eV per formula unit) = 0.4
- SG = No. 216
- calculated density (g/cm³) = 8.1
- magnetization (Bohr magnetons per cell) = 0.00

---

Record 7
A geometry-optimized La2DyErTm4 structure, computed with PBE-GGA.

Cell lengths 7.124, 12.296, 12.295 Å; angles 146.32, 106.83, 90.00 degrees
Atoms (fractional coordinates):
La 0.500 0.000 0.000
La 0.500 0.000 0.500
La 0.000 0.000 0.500
La 0.500 0.500 0.000
Dy 0.000 0.500 0.000
Dy 0.000 0.500 0.500
Er 0.500 0.500 0.500
Er 0.000 0.000 0.000
Tm 0.247 0.750 0.997
Tm 0.750 0.253 0.500
Tm 0.250 0.747 0.500
Tm 0.753 0.250 0.003
Tm 0.750 0.750 0.997
Tm 0.751 0.749 0.503
Tm 0.249 0.251 0.497
Tm 0.250 0.250 0.003

- ΔE_f (eV per formula unit) = 0.2
- SG = No. 12
- calculated density (g/cm³) = 8.4
- magnetization (Bohr magnetons per cell) = 0.00

---

Record 8
A geometry-optimized LaDyEr5Tm2 structure, computed with PBE-GGA.

Cell lengths 5.572, 10.245, 10.461 Å; angles 90.00, 90.00, 105.78 degrees
Atoms (fractional coordinates):
La 0.582 0.165 0.948
La 0.418 0.835 0.448
Dy 0.801 0.602 0.513
Dy 0.199 0.398 0.013
Er 0.387 0.773 0.024
Er 0.720 0.440 0.815
Er 0.478 0.957 0.735
Er 0.298 0.596 0.711
Er 0.983 0.967 0.526
Er 0.613 0.227 0.524
Er 0.280 0.560 0.315
Er 0.522 0.043 0.235
Er 0.702 0.404 0.211
Er 0.017 0.033 0.026
Tm 0.887 0.775 0.818
Tm 0.111 0.223 0.734
Tm 0.113 0.225 0.318
Tm 0.889 0.777 0.234

- ΔE_f (eV per formula unit) = 1.6
- SG = No. 36
- calculated density (g/cm³) = 8.5
- magnetization (Bohr magnetons per cell) = 0.00

---

no.,V (Å³/cell)
1,590
2,228
3,591
4,384
5,377
6,131
7,509
8,575